Entry 1:
Compound: Ca2Tl5Au
Source: the Alexandria database
Functional: PBE-GGA
Structure: relaxed

Lattice parameters (Å, degrees): 7.8571 14.9366 3.8587 90.00 90.00 90.00
Last column: nearest neighbours and their distance in Å.
Space group Pbam (No. 55)
Unique sites:
Ca 0.2188 0.1170 0.0000 (multiplicity 4)  2 Au 3.12, 7 Tl 3.40-3.44
Tl 0.0000 0.5000 0.5000 (multiplicity 2)  4 Ca 3.41, 6 Tl 3.42-3.48
Tl 0.0016 0.7331 0.5000 (multiplicity 4)  4 Ca 3.40-3.43, 5 Tl 3.41-3.48
Tl 0.2188 0.8825 0.0000 (multiplicity 4)  2 Au 3.12, 6 Tl 3.41-3.42, 1 Ca 3.44
Au 0.0000 0.0000 0.5000 (multiplicity 2)  4 Ca 3.12, 4 Tl 3.12

Calculated values
ΔE_f = -277 meV per atom
Crystal system = orthorhombic
DFT total energy = -2.67 eV/atom
DOS at the Fermi energy = 6.6 states/eV per cell

---

Entry 2:
Compound: Ca3TlAu8
Source: the Alexandria database
Functional: PBE-GGA
Structure: relaxed

Lattice parameters (Å, degrees): 5.6783 5.6783 28.0823 90.00 90.00 120.00
Last column: nearest neighbours and their distance in Å.
Space group R3m (No. 160, hexagonal axes)
Unique sites:
Ca 0.0000 0.0000 0.0000 (multiplicity 3)  12 Au 3.23-3.49, 3 Tl 3.38
Ca 0.0000 0.0000 0.1297 (multiplicity 3)  12 Au 3.27-3.37, 4 Ca 3.60-3.64
Ca 0.0000 0.0000 0.5163 (multiplicity 3)  12 Au 3.19-3.51, 1 Tl 3.41
Tl 0.0000 0.0000 0.6377 (multiplicity 3)  12 Au 3.29-3.45, 4 Ca 3.38-3.41
Au 0.0000 0.0000 0.3202 (multiplicity 3)  6 Au 2.89
Au 0.0000 0.0000 0.8202 (multiplicity 3)  6 Au 2.82
Au 0.0037 0.5018 0.0722 (multiplicity 9)  6 Au 2.81-2.89
Au 0.1685 0.3369 0.9015 (multiplicity 9)  6 Au 2.81-2.89

Calculated values
ΔE_f = -511 meV per atom
Crystal system = trigonal
DFT total energy = -3.39 eV/atom
DOS at the Fermi energy = 11.9 states/eV per cell
Excess energy over the best structure of this formula in the dataset = 4 meV/atom

---

Entry 3:
Compound: Ca6TlAu5
Source: the Alexandria database
Functional: PBE-GGA
Structure: relaxed

Lattice parameters (Å, degrees): 5.2028 15.6978 7.3103 90.00 90.00 90.00
Last column: nearest neighbours and their distance in Å.
Space group Cmmm (No. 65)
Unique sites:
Ca 0.0000 0.0000 0.2398 (multiplicity 4)  6 Au 3.14-3.15, 2 Tl 3.22, 1 Ca 3.51
Ca 0.0000 0.3291 0.2490 (multiplicity 8)  7 Au 3.13-3.24, 1 Tl 3.25
Tl 0.0000 0.5000 0.5000 (multiplicity 2)  8 Ca 3.22-3.25
Au 0.0000 0.1594 0.5000 (multiplicity 4)  8 Ca 3.14-3.23
Au 0.0000 0.1667 0.0000 (multiplicity 4)  8 Ca 3.13-3.18
Au 0.0000 0.5000 0.0000 (multiplicity 2)  8 Ca 3.14-3.24

Calculated values
ΔE_f = -711 meV per atom
Crystal system = orthorhombic
DFT total energy = -3.27 eV/atom
DOS at the Fermi energy = 16.2 states/eV per cell

---

Entry 4:
Compound: Ca2Tl2Au
Source: the Alexandria database
Functional: PBE-GGA
Structure: relaxed

Lattice parameters (Å, degrees): 3.7007 21.2592 3.5678 90.00 90.00 90.00
Last column: nearest neighbours and their distance in Å.
Space group Cmmm (No. 65)
Unique sites:
Ca 0.0000 0.0840 0.0000 (multiplicity 4)  4 Au 3.13, 4 Tl 3.42
Tl 0.0000 0.3095 0.5000 (multiplicity 4)  2 Tl 3.14, 4 Ca 3.42
Au 0.0000 0.5000 0.5000 (multiplicity 2)  8 Ca 3.13

Calculated values
ΔE_f = -425 meV per atom
Crystal system = orthorhombic
DFT total energy = -2.83 eV/atom
DOS at the Fermi energy = 5.7 states/eV per cell
Excess energy over the best structure of this formula in the dataset = 50 meV/atom

---

Entry 5:
Compound: Ca4Tl3Au
Source: the Alexandria database
Functional: PBE-GGA
Structure: relaxed

Lattice parameters (Å, degrees): 3.8009 3.8009 15.5977 90.00 90.00 90.00
Last column: nearest neighbours and their distance in Å.
Space group P4/mmm (No. 123)
Unique sites:
Ca 0.0000 0.0000 0.1109 (multiplicity 2)  4 Au 3.20, 4 Tl 3.40, 1 Ca 3.46
Ca 0.0000 0.0000 0.3715 (multiplicity 2)  8 Tl 3.34-3.35
Tl 0.5000 0.5000 0.2446 (multiplicity 2)  8 Ca 3.34-3.40
Tl 0.5000 0.5000 0.5000 (multiplicity 1)  8 Ca 3.35
Au 0.5000 0.5000 0.0000 (multiplicity 1)  8 Ca 3.20

Calculated values
ΔE_f = -513 meV per atom
Crystal system = tetragonal
DFT total energy = -2.81 eV/atom
DOS at the Fermi energy = 5.9 states/eV per cell

---

Entry 6:
Compound: Ca2Tl2Au
Source: the Alexandria database
Functional: PBE-GGA
Structure: relaxed

Lattice parameters (Å, degrees): 7.9540 7.9540 4.8468 90.00 90.00 90.00
Last column: nearest neighbours and their distance in Å.
Space group P4/mbm (No. 127)
Unique sites:
Ca 0.1632 0.3368 0.0000 (multiplicity 4)  2 Au 2.98, 2 Tl 3.24
Tl 0.1457 0.6457 0.5000 (multiplicity 4)  6 Ca 3.24-3.45, 1 Tl 3.28
Au 0.0000 0.0000 0.0000 (multiplicity 2)  4 Ca 2.98

Calculated values
ΔE_f = -273 meV per atom
Crystal system = tetragonal
DFT total energy = -2.68 eV/atom
DOS at the Fermi energy = 7.5 states/eV per cell
Excess energy over the best structure of this formula in the dataset = 201 meV/atom

---

Entry 7:
Compound: CaTl3Au8
Source: the Alexandria database
Functional: PBE-GGA
Structure: relaxed

Lattice parameters (Å, degrees): 5.6678 5.6678 28.3315 90.00 90.00 120.00
Last column: nearest neighbours and their distance in Å.
Space group R3m (No. 160, hexagonal axes)
Unique sites:
Ca 0.0000 0.0000 0.0000 (multiplicity 3)  12 Au 3.31-3.32, 4 Tl 3.52-3.60
Tl 0.0000 0.0000 0.1272 (multiplicity 3)  12 Au 3.32-3.40, 3 Tl 3.45, 1 Ca 3.60
Tl 0.0000 0.0000 0.4988 (multiplicity 3)  12 Au 3.32-3.40, 4 Tl 3.45-3.47
Tl 0.0000 0.0000 0.6211 (multiplicity 3)  12 Au 3.25-3.43, 1 Tl 3.47, 3 Ca 3.52
Au 0.0000 0.0000 0.3135 (multiplicity 3)  6 Au 2.82-2.85
Au 0.0000 0.0000 0.8132 (multiplicity 3)  6 Au 2.91-2.92
Au 0.0017 0.5009 0.5648 (multiplicity 9)  6 Au 2.82-2.91
Au 0.1680 0.3361 0.3943 (multiplicity 9)  6 Au 2.81-2.92

Calculated values
ΔE_f = -187 meV per atom
Crystal system = trigonal
DFT total energy = -3.13 eV/atom
DOS at the Fermi energy = 19.4 states/eV per cell

---

Entry 8:
Compound: Ca4TlAu5
Source: the Alexandria database
Functional: PBE-GGA
Structure: relaxed

Lattice parameters (Å, degrees): 3.6810 3.6810 17.7235 90.00 90.00 90.00
Last column: nearest neighbours and their distance in Å.
Space group P4/mmm (No. 123)
Unique sites:
Ca 0.0000 0.0000 0.1008 (multiplicity 2)  8 Au 3.15-3.16
Ca 0.0000 0.0000 0.3049 (multiplicity 2)  8 Au 3.07-3.18
Tl 0.0000 0.0000 0.5000 (multiplicity 1)  8 Au 3.19, 2 Ca 3.46
Au 0.5000 0.5000 0.0000 (multiplicity 1)  8 Ca 3.16
Au 0.5000 0.5000 0.2013 (multiplicity 2)  8 Ca 3.15-3.18, 1 Au 3.46
Au 0.5000 0.5000 0.3964 (multiplicity 2)  4 Ca 3.07, 4 Tl 3.19

Calculated values
ΔE_f = -657 meV per atom
Crystal system = tetragonal
DFT total energy = -3.33 eV/atom
DOS at the Fermi energy = 7.3 states/eV per cell